Record 1
Here is a PBEsol-optimized structure of FeCuIr from Alexandria. Energies are from SCAN.

Values from the calculation:
* total DFT energy (no corrections): -34.81 eV per atom

The structure in POSCAR format:
```
FeCuIr
1.0
2.627 0.000 0.000
-1.314 2.275 0.000
0.000 0.000 6.272
Fe Cu Ir
1 1 1
Direct
0.000 0.000 0.000 Fe
0.667 0.333 0.323 Cu
0.333 0.667 0.673 Ir
```

***

Record 2
Here is a PBEsol-optimized structure of FeCuIr2 from Alexandria. Energies are from SCAN.

Values from the calculation:
* total DFT energy (no corrections): -43.69 eV per atom
* distance to the lowest polymorph of the same formula: 25.1 kJ/mol of atoms

The structure in POSCAR format:
```
FeCuIr2
1.0
0.000 2.973 2.973
2.973 0.000 2.973
2.973 2.973 0.000
Fe Cu Ir
1 1 2
Direct
0.000 0.000 0.000 Fe
0.750 0.750 0.750 Cu
0.250 0.250 0.250 Ir
0.500 0.500 0.500 Ir
```

***

These records have energy of formation from the pure elements values of 0.000, 0.187 eV per atom, in the order they appear.